# 1
Below is crystalline Y2Zn at its relaxed geometry, with properties calculated at the PBEsol level.

Cell: 7.5632 7.5632 4.5867 Å, 90.00 90.00 120.00°
Space group P-62m (No. 189)
One atom of each set of equivalent atoms:
1 Y 0.0000 0.2654 0.0000 (multiplicity 3)
2 Y 0.0000 0.5993 0.5000 (multiplicity 3)
3 Zn 0.0000 0.0000 0.5000 (multiplicity 1)
4 Zn 0.3333 0.6667 0.0000 (multiplicity 2)

Summary:
For the formation energy, the calculation gives -0.5 eV/f.u. The electronic total energy comes out at -47.20 eV per cell.

# 2
Below is crystalline YZn13 at its relaxed geometry, with properties calculated at the PBEsol level.

Cell: 11.899 11.899 11.899 Å, 90.00 90.00 90.00°
Space group Fm-3c (No. 226)
One atom of each set of equivalent atoms:
1 Y 0.250 0.250 0.250 (multiplicity 8)
2 Zn 0.000 0.000 0.000 (multiplicity 8)
3 Zn 0.000 0.121 0.179 (multiplicity 96)

Summary:
For the formation energy, the calculation gives -2.3 eV/f.u. The electronic total energy comes out at -237.46 eV per cell.

Please write out number 2 again, unchanged.
Below is crystalline YZn13 at its relaxed geometry, with properties calculated at the PBEsol level.

Cell: 11.899 11.899 11.899 Å, 90.00 90.00 90.00°
Space group Fm-3c (No. 226)
One atom of each set of equivalent atoms:
1 Y 0.250 0.250 0.250 (multiplicity 8)
2 Zn 0.000 0.000 0.000 (multiplicity 8)
3 Zn 0.000 0.121 0.179 (multiplicity 96)

Summary:
For the formation energy, the calculation gives -2.3 eV/f.u. The electronic total energy comes out at -237.46 eV per cell.